CsBa2HfTi after structural relaxation. Source: Alexandria, functional PBE-GGA.

Properties
Space group: P4/mmm, No. 123
Total magnetic moment (μB/atom): 0.000
Raw total energy (eV/atom): -3.71
Crystal system: tetragonal
D(E_F) (states/eV per cell): 6.31

POSCAR file:
```
CsBa2HfTi
1.0
-1.1812 0.5973 -6.4299
4.8985 -1.1769 -1.0092
-1.5901 -6.3622 -0.2989
Ba Ti Hf Cs
2 1 1 1
direct
0.5000 0.0000 0.0000 Ba
0.0000 0.0000 0.5000 Ba
0.0000 0.0000 0.0000 Ti
0.0000 0.5000 0.0000 Hf
0.5000 0.5000 0.5000 Cs
```